An optimized crystal structure of TlInPCl2. Source: Alexandria, functional GGA-PBE.

abc: 5.653 5.653 5.340
angles: 90.00 90.00 90.00
Space group P4/mmm (No. 123)
Asymmetric unit:
Tl 0.000 0.000 0.000
In 0.500 0.500 0.500
P 0.000 0.000 0.500
Cl 0.000 0.500 0.000

- magnetic moment (μB per formula unit) = 1.7
- formation energy without anion corrections (meV/atom) = -18
- ΔE to the lowest computed polymorph (eV per formula unit) = 1.33